First-principles (GGA-PBE) data for a relaxed structure of MgGeBr2N, as listed in the Alexandria database.

Cell lengths 5.294, 3.846, 5.294 Å; angles 90.00, 90.00, 90.00 degrees
Sites, in units of the cell vectors:
Br  0.500  0.000  0.000
Br  0.000  0.000  0.500
Mg  0.000  0.500  0.000
N  0.000  0.000  0.000
Ge  0.500  0.500  0.500

E_tot: -3.1639 eV per atom
ΔE_f (raw): 0.41 eV per atom
magnetization: 0.0 μB per formula unit